(1)
# GGA-PBE LiTaTi, optimized geometry
data_LiTaTi
_symmetry_space_group_name_H-M 'P 1'
_symmetry_Int_Tables_number 1
_symmetry_space_group_name_Hall 'P 1'
_cell_length_a 4.594
_cell_length_b 4.572
_cell_length_c 7.499
_cell_angle_alpha 72.33
_cell_angle_beta 51.58
_cell_angle_gamma 60.36
loop_
_atom_site_label
_atom_site_type_symbol
_atom_site_fract_x
_atom_site_fract_y
_atom_site_fract_z
_atom_site_occupancy
Ti1 Ti 0.898 0.820 0.648 1
Ti2 Ti 0.338 0.820 0.206 1
Ta1 Ta 0.502 0.153 0.374 1
Ta2 Ta 0.733 0.487 0.480 1
Li1 Li 0.019 0.153 0.859 1
Li2 Li 0.216 0.486 0.995 1
# Size of the total moment ... 0.0 μB per formula unit
# Energy relative to the lowest polymorph listed for this composition ... 0.1539 eV/atom


(2)
# GGA-PBE LiTaTi, optimized geometry
data_LiTaTi
_symmetry_space_group_name_H-M 'P 1'
_symmetry_Int_Tables_number 1
_symmetry_space_group_name_Hall 'P 1'
_cell_length_a 3.248
_cell_length_b 3.248
_cell_length_c 10.408
_cell_angle_alpha 90.00
_cell_angle_beta 90.00
_cell_angle_gamma 90.00
loop_
_atom_site_label
_atom_site_type_symbol
_atom_site_fract_x
_atom_site_fract_y
_atom_site_fract_z
_atom_site_occupancy
Ta1 Ta 0.500 0.000 0.420 1
Ta2 Ta 0.000 0.500 0.580 1
Li1 Li 0.000 0.500 0.920 1
Li2 Li 0.500 0.000 0.080 1
Ti1 Ti 0.000 0.500 0.269 1
Ti2 Ti 0.500 0.000 0.731 1
# Size of the total moment ... 0.0 μB per formula unit
# Energy relative to the lowest polymorph listed for this composition ... 0.0000 eV/atom


(3)
# GGA-PBE LiTaTi2Tl, optimized geometry
data_LiTaTi2Tl
_symmetry_space_group_name_H-M 'P 1'
_symmetry_Int_Tables_number 1
_symmetry_space_group_name_Hall 'P 1'
_cell_length_a 5.169
_cell_length_b 5.245
_cell_length_c 5.169
_cell_angle_alpha 90.00
_cell_angle_beta 90.00
_cell_angle_gamma 90.00
loop_
_atom_site_label
_atom_site_type_symbol
_atom_site_fract_x
_atom_site_fract_y
_atom_site_fract_z
_atom_site_occupancy
Ti1 Ti 0.000 0.000 0.500 1
Ti2 Ti 0.500 0.000 0.000 1
Ta1 Ta 0.000 0.500 0.000 1
Li1 Li 0.500 0.500 0.500 1
Tl1 Tl 0.000 0.000 0.000 1
# Size of the total moment ... 3.1 μB per formula unit


(4)
# GGA-PBE LiTaTiV2, optimized geometry
data_LiTaTiV2
_symmetry_space_group_name_H-M 'P 1'
_symmetry_Int_Tables_number 1
_symmetry_space_group_name_Hall 'P 1'
_cell_length_a 4.128
_cell_length_b 4.560
_cell_length_c 4.128
_cell_angle_alpha 90.00
_cell_angle_beta 90.00
_cell_angle_gamma 90.00
loop_
_atom_site_label
_atom_site_type_symbol
_atom_site_fract_x
_atom_site_fract_y
_atom_site_fract_z
_atom_site_occupancy
Ti1 Ti 0.500 0.500 0.500 1
Ta1 Ta 0.000 0.500 0.000 1
V1 V 0.500 0.000 0.000 1
V2 V 0.000 0.000 0.500 1
Li1 Li 0.000 0.000 0.000 1
# Size of the total moment ... 0.9 μB per formula unit


(5)
# GGA-PBE LiTaTl2, optimized geometry
data_LiTaTl2
_symmetry_space_group_name_H-M 'P 1'
_symmetry_Int_Tables_number 1
_symmetry_space_group_name_Hall 'P 1'
_cell_length_a 6.113
_cell_length_b 6.113
_cell_length_c 6.113
_cell_angle_alpha 150.04
_cell_angle_beta 132.08
_cell_angle_gamma 57.55
loop_
_atom_site_label
_atom_site_type_symbol
_atom_site_fract_x
_atom_site_fract_y
_atom_site_fract_z
_atom_site_occupancy
Ta1 Ta 0.256 0.756 0.500 1
Tl1 Tl 0.006 0.006 0.000 1
Tl2 Tl 0.741 0.241 0.500 1
Li1 Li 0.497 0.497 0.000 1
# Size of the total moment ... 0.0 μB per formula unit


(6)
# GGA-PBE LiTa3Tl, optimized geometry
data_LiTa3Tl
_symmetry_space_group_name_H-M 'P 1'
_symmetry_Int_Tables_number 1
_symmetry_space_group_name_Hall 'P 1'
_cell_length_a 5.148
_cell_length_b 5.148
_cell_length_c 5.148
_cell_angle_alpha 90.00
_cell_angle_beta 90.00
_cell_angle_gamma 90.00
loop_
_atom_site_label
_atom_site_type_symbol
_atom_site_fract_x
_atom_site_fract_y
_atom_site_fract_z
_atom_site_occupancy
Ta1 Ta 0.000 0.500 0.000 1
Ta2 Ta 0.500 0.000 0.000 1
Ta3 Ta 0.000 0.000 0.500 1
Li1 Li 0.500 0.500 0.500 1
Tl1 Tl 0.000 0.000 0.000 1
# Size of the total moment ... 1.0 μB per formula unit
# Energy relative to the lowest polymorph listed for this composition ... 1.2845 eV/atom


| no. | formation enthalpy at 0 K (eV/f.u.) | density of states at the Fermi level (states/eV per atom) |
| --- | --- | --- |
| 1 | 0.925 | 1.14 |
| 2 | 0.463 | 0.84 |
| 3 | 8.225 | 1.17 |
| 4 | 5.578 | 1.58 |
| 5 | 1.589 | 0.67 |
| 6 | 11.883 | 1.24 |